PBE TaCr2Mo, optimized geometry; energy above the most stable polymorph in this dataset = 403 meV per atom; formation energy = 0.38 eV/atom; DFT total energy = -10.10 eV/atom; N(E_F) = 1.07 states/eV per atom; total magnetic moment = 0.00 μB per formula unit
1.0
8.1577 0.0170 0.0101
7.6251 2.8995 0.0101
7.6251 1.4090 2.5341
Mo Cr Ta
1 2 1
Direct
0.2500 0.2500 0.2500
0.5029 0.5029 0.5029
0.9971 0.9971 0.9971
0.7500 0.7500 0.7500